(1)
DFT (PBE-GGA) results for a geometry-optimized LuHg structure.

```
data_LuHg
_cell_length_a 3.745
_cell_length_b 4.731
_cell_length_c 5.948
_cell_angle_alpha 90.00
_cell_angle_beta 108.13
_cell_angle_gamma 90.00
_symmetry_space_group_name_H-M 'P 1 21/m 1'
_symmetry_Int_Tables_number 11
loop_
_symmetry_equiv_pos_as_xyz
'x,y,z'
'-x,-y,-z'
'-x,y+1/2,-z'
'x,-y+1/2,z'
loop_
_atom_site_label
_atom_site_type_symbol
_atom_site_fract_x
_atom_site_fract_y
_atom_site_fract_z
Lu1 Lu 0.145 0.250 0.291
Hg1 Hg 0.411 0.250 0.823
```

Calculated values
DOS at the Fermi energy in states/eV/cell: 2.3
Energy of formation in eV/atom: -0.4289

***

(2)
DFT (PBE-GGA) results for a geometry-optimized Co2TePb structure.

```
data_Co2TePb
_cell_length_a 3.230
_cell_length_b 3.230
_cell_length_c 7.829
_cell_angle_alpha 90.00
_cell_angle_beta 90.00
_cell_angle_gamma 90.00
_symmetry_space_group_name_H-M 'P 4 m m'
_symmetry_Int_Tables_number 99
loop_
_symmetry_equiv_pos_as_xyz
'x,y,z'
'-y,x,z'
'-x,-y,z'
'y,-x,z'
'-x,y,z'
'y,x,z'
'x,-y,z'
'-y,-x,z'
loop_
_atom_site_label
_atom_site_type_symbol
_atom_site_fract_x
_atom_site_fract_y
_atom_site_fract_z
Co1 Co 0.000 0.000 0.000
Co2 Co 0.500 0.500 0.148
Te1 Te 0.500 0.500 0.822
Pb1 Pb 0.000 0.000 0.380
```

Calculated values
Raw formation energy in eV/f.u.: 1.10
DOS at the Fermi energy in states/eV/cell: 6.1
Energy above the most stable polymorph in this dataset in meV/atom: 150

***

(3)
DFT (PBE-GGA) results for a geometry-optimized Ac2CdSe4 structure.

```
data_Ac2CdSe4
_cell_length_a 7.246
_cell_length_b 7.209
_cell_length_c 8.616
_cell_angle_alpha 90.00
_cell_angle_beta 107.44
_cell_angle_gamma 90.00
_symmetry_space_group_name_H-M 'P 1 21/m 1'
_symmetry_Int_Tables_number 11
loop_
_symmetry_equiv_pos_as_xyz
'x,y,z'
'-x,-y,-z'
'-x,y+1/2,-z'
'x,-y+1/2,z'
loop_
_atom_site_label
_atom_site_type_symbol
_atom_site_fract_x
_atom_site_fract_y
_atom_site_fract_z
Ac1 Ac 0.226 0.250 0.059
Ac2 Ac 0.235 0.250 0.557
Cd1 Cd 0.245 0.750 0.811
Se1 Se 0.019 0.516 0.256
Se2 Se 0.450 0.750 0.608
Se3 Se 0.456 0.750 0.117
```

Calculated values
Raw formation energy in eV/f.u.: -10.65

***

(4)
DFT (PBE-GGA) results for a geometry-optimized Ho5Tl6In structure.

```
data_Ho5Tl6In
_cell_length_a 4.900
_cell_length_b 8.880
_cell_length_c 14.866
_cell_angle_alpha 90.00
_cell_angle_beta 90.00
_cell_angle_gamma 90.00
_symmetry_space_group_name_H-M 'I m m m'
_symmetry_Int_Tables_number 71
_symmetry_space_group_name_Hall '-I 2 2'
loop_
_atom_site_label
_atom_site_type_symbol
_atom_site_fract_x
_atom_site_fract_y
_atom_site_fract_z
Ho1 Ho 0.000 0.000 0.000
Ho2 Ho 0.000 0.000 0.358
Ho3 Ho 0.000 0.500 0.324
Tl1 Tl 0.000 0.242 0.171
Tl2 Tl 0.000 0.270 0.500
In1 In 0.000 0.500 0.000
```

Calculated values
DOS at the Fermi energy in states/eV/cell: 13.4
Energy of formation in eV/atom: -0.2916

***

(5)
DFT (PBE-GGA) results for a geometry-optimized Pd5Pt2Rh structure.

```
data_Pd5Pt2Rh
_cell_length_a 5.582
_cell_length_b 11.155
_cell_length_c 3.923
_cell_angle_alpha 90.00
_cell_angle_beta 90.00
_cell_angle_gamma 90.00
_symmetry_space_group_name_H-M 'P b a m'
_symmetry_Int_Tables_number 55
loop_
_symmetry_equiv_pos_as_xyz
'x,y,z'
'-x,-y,-z'
'-x,-y,z'
'x,y,-z'
'x+1/2,-y+1/2,-z'
'-x+1/2,y+1/2,z'
'-x+1/2,y+1/2,-z'
'x+1/2,-y+1/2,z'
loop_
_atom_site_label
_atom_site_type_symbol
_atom_site_fract_x
_atom_site_fract_y
_atom_site_fract_z
Pd1 Pd 0.000 0.000 0.000
Pd2 Pd 0.001 0.251 0.000
Pd3 Pd 0.249 0.375 0.500
Pt1 Pt 0.246 0.623 0.500
Rh1 Rh 0.000 0.500 0.000
```

Calculated values
DOS at the Fermi energy in states/eV/cell: 33.2
Energy above the most stable polymorph in this dataset in meV/atom: 0
Energy of formation in eV/atom: 0.0144

***

(6)
DFT (PBE-GGA) results for a geometry-optimized Pm12Co3N5 structure.

```
data_Pm12Co3N5
_cell_length_a 15.507
_cell_length_b 15.507
_cell_length_c 15.507
_cell_angle_alpha 90.00
_cell_angle_beta 90.00
_cell_angle_gamma 90.00
_symmetry_space_group_name_H-M 'I a -3 d'
_symmetry_Int_Tables_number 230
_symmetry_space_group_name_Hall '-I 4bd 2c 3'
loop_
_atom_site_label
_atom_site_type_symbol
_atom_site_fract_x
_atom_site_fract_y
_atom_site_fract_z
Pm1 Pm 0.030 0.056 0.651
Co1 Co 0.000 0.250 0.125
N1 N 0.000 0.000 0.000
N2 N 0.000 0.250 0.375
```

Calculated values
Raw formation energy in eV/f.u.: -11.51
DOS at the Fermi energy in states/eV/cell: 136.2